# 1
# BaRe2Sb (PBE, relaxed)
data_BaRe2Sb
_cell_length_a 2.987
_cell_length_b 5.220
_cell_length_c 6.267
_cell_angle_alpha 90.00
_cell_angle_beta 90.00
_cell_angle_gamma 90.00
_space_group_name_H-M_alt 'P m m m'
_space_group_IT_number 47
_space_group_name_Hall '-P 2 2'
loop_
_atom_site_label
_atom_site_type_symbol
_atom_site_fract_x
_atom_site_fract_y
_atom_site_fract_z
Ba1 Ba 0.000 0.000 0.000
Re1 Re 0.500 0.500 0.318
Sb1 Sb 0.500 0.000 0.500
# Energy relative to the elements, uncorrected in eV/atom: 0.97
# Size of the total moment in Bohr magnetons per cell: 0.000
# Fermi-level density of states in states/eV per atom: 0.7714
# DFT total energy in eV/atom: -6.7701



# 2
# BaRe2Sb (PBE, relaxed)
data_BaRe2Sb
_cell_length_a 3.439
_cell_length_b 3.439
_cell_length_c 7.789
_cell_angle_alpha 90.00
_cell_angle_beta 90.00
_cell_angle_gamma 90.00
_space_group_name_H-M_alt 'P 4/m m m'
_space_group_IT_number 123
_space_group_name_Hall '-P 4 2'
loop_
_atom_site_label
_atom_site_type_symbol
_atom_site_fract_x
_atom_site_fract_y
_atom_site_fract_z
Ba1 Ba 0.000 0.000 0.000
Re1 Re 0.500 0.500 0.332
Sb1 Sb 0.000 0.000 0.500
# Energy relative to the elements, uncorrected in eV/atom: 1.04
# Size of the total moment in Bohr magnetons per cell: 0.000
# Fermi-level density of states in states/eV per atom: 1.1380
# DFT total energy in eV/atom: -6.6919



# 3
# BaRe2Sb (PBE, relaxed)
data_BaRe2Sb
_cell_length_a 8.124
_cell_length_b 4.590
_cell_length_c 6.683
_cell_angle_alpha 90.00
_cell_angle_beta 114.10
_cell_angle_gamma 90.00
_space_group_name_H-M_alt 'C 1 2/m 1'
_space_group_IT_number 12
_space_group_name_Hall '-C 2y'
loop_
_atom_site_label
_atom_site_type_symbol
_atom_site_fract_x
_atom_site_fract_y
_atom_site_fract_z
Ba1 Ba 0.000 0.000 0.000
Re1 Re 0.180 0.000 0.526
Sb1 Sb 0.000 0.500 0.500
# Energy relative to the elements, uncorrected in eV/atom: 0.39
# Size of the total moment in Bohr magnetons per cell: 0.000
# Fermi-level density of states in states/eV per atom: 0.5695
# DFT total energy in eV/atom: -7.3488



# 4
# BaRe2Sb (PBE, relaxed)
data_BaRe2Sb
_cell_length_a 2.909
_cell_length_b 5.395
_cell_length_c 5.741
_cell_angle_alpha 90.00
_cell_angle_beta 90.00
_cell_angle_gamma 90.00
_space_group_name_H-M_alt 'P m m m'
_space_group_IT_number 47
_space_group_name_Hall '-P 2 2'
loop_
_atom_site_label
_atom_site_type_symbol
_atom_site_fract_x
_atom_site_fract_y
_atom_site_fract_z
Ba1 Ba 0.000 0.000 0.000
Re1 Re 0.000 0.500 0.500
Re2 Re 0.500 0.000 0.500
Sb1 Sb 0.500 0.500 0.000
# Energy relative to the elements, uncorrected in eV/atom: 1.47
# Size of the total moment in Bohr magnetons per cell: 0.000
# Fermi-level density of states in states/eV per atom: 1.3454
# DFT total energy in eV/atom: -6.2673



# 5
# BaRe2Sb (PBE, relaxed)
data_BaRe2Sb
_cell_length_a 3.242
_cell_length_b 3.242
_cell_length_c 8.701
_cell_angle_alpha 90.00
_cell_angle_beta 90.00
_cell_angle_gamma 90.00
_space_group_name_H-M_alt 'P 4 m m'
_space_group_IT_number 99
_space_group_name_Hall 'P 4 -2'
loop_
_atom_site_label
_atom_site_type_symbol
_atom_site_fract_x
_atom_site_fract_y
_atom_site_fract_z
Ba1 Ba 0.000 0.000 0.000
Re1 Re 0.000 0.000 0.439
Re2 Re 0.500 0.500 0.289
Sb1 Sb 0.500 0.500 0.650
# Energy relative to the elements, uncorrected in eV/atom: 0.39
# Size of the total moment in Bohr magnetons per cell: 0.000
# Fermi-level density of states in states/eV per atom: 1.0107
# DFT total energy in eV/atom: -7.3460



# 6
# BaRe2Sb (PBE, relaxed)
data_BaRe2Sb
_cell_length_a 3.1562
_cell_length_b 3.1562
_cell_length_c 29.6453
_cell_angle_alpha 90.00
_cell_angle_beta 90.00
_cell_angle_gamma 120.00
_space_group_name_H-M_alt 'R -3 m'
_space_group_IT_number 166
_space_group_name_Hall '-R 3 2"'
loop_
_atom_site_label
_atom_site_type_symbol
_atom_site_fract_x
_atom_site_fract_y
_atom_site_fract_z
Ba1 Ba 0.0000 0.0000 0.0000
Re1 Re 0.0000 0.0000 0.2348
Sb1 Sb 0.0000 0.0000 0.5000
# Energy relative to the elements, uncorrected in eV/atom: 1.22
# Size of the total moment in Bohr magnetons per cell: 0.002
# Fermi-level density of states in states/eV per atom: 1.2754
# DFT total energy in eV/atom: -6.5129



# 7
# BaRe2Sb (PBE, relaxed)
data_BaRe2Sb
_cell_length_a 3.360
_cell_length_b 5.840
_cell_length_c 10.611
_cell_angle_alpha 90.00
_cell_angle_beta 90.00
_cell_angle_gamma 90.00
_space_group_name_H-M_alt 'I m m 2'
_space_group_IT_number 44
_space_group_name_Hall 'I 2 -2'
loop_
_atom_site_label
_atom_site_type_symbol
_atom_site_fract_x
_atom_site_fract_y
_atom_site_fract_z
Ba1 Ba 0.000 0.000 0.000
Re1 Re 0.000 0.000 0.484
Re2 Re 0.000 0.500 0.826
Sb1 Sb 0.000 0.500 0.213
# Energy relative to the elements, uncorrected in eV/atom: 0.79
# Size of the total moment in Bohr magnetons per cell: 0.000
# Fermi-level density of states in states/eV per atom: 1.0233
# DFT total energy in eV/atom: -6.9427



# 8
# BaRe2Sb (PBE, relaxed)
data_BaRe2Sb
_cell_length_a 4.941
_cell_length_b 4.941
_cell_length_c 7.113
_cell_angle_alpha 90.00
_cell_angle_beta 90.00
_cell_angle_gamma 90.00
_space_group_name_H-M_alt 'I -4 m 2'
_space_group_IT_number 119
_space_group_name_Hall 'I -4 -2'
loop_
_atom_site_label
_atom_site_type_symbol
_atom_site_fract_x
_atom_site_fract_y
_atom_site_fract_z
Ba1 Ba 0.000 0.000 0.000
Re1 Re 0.000 0.000 0.500
Re2 Re 0.000 0.500 0.750
Sb1 Sb 0.000 0.500 0.250
# Energy relative to the elements, uncorrected in eV/atom: 1.33
# Size of the total moment in Bohr magnetons per cell: 0.001
# Fermi-level density of states in states/eV per atom: 1.1374
# DFT total energy in eV/atom: -6.4040